(1)
Here is a relaxed MgHPd3 crystal from Alexandria via LeMat-Bulk. Energies are from PBE.

a = 14.3279 Å, b = 2.8476 Å, c = 6.9153 Å
α = 90.00°, β = 98.74°, γ = 90.00°
Closest atoms and distances in Å follow each position.
Space group C2/m (No. 12)
Symmetry-distinct sites (fractional):
Mg 0.1084 0.0000 0.0746 [4 per cell]  6 Pd 2.63-2.73, 2 Mg 2.85
H 0.1164 0.5000 0.5854 [4 per cell]  3 Pd 1.87-1.94
Pd 0.0274 0.0000 0.7064 [4 per cell]  2 H 2.16
Pd 0.1650 0.0000 0.4565 [4 per cell]  2 H 1.87
Pd 0.2033 0.5000 0.8300 [4 per cell]  1 H 1.94

Summary:
- DOS(E_F) (states/eV/f.u.) = 1.5
- total energy (eV per atom) = -4.29
- magnetization (μB per atom) = 0.0000
- volume (Å³/atom) = 13.9



(2)
Here is a relaxed TlSi2Au crystal from Alexandria via LeMat-Bulk. Energies are from PBE.

a = 3.0905 Å, b = 5.0422 Å, c = 5.1246 Å
α = 90.00°, β = 90.00°, γ = 90.00°
Closest atoms and distances in Å follow each position.
Space group Pmmm (No. 47)
Symmetry-distinct sites (fractional):
Tl 0.0000 0.0000 0.0000 [1 per cell]  4 Au 2.96, 4 Si 2.99, 2 Tl 3.09
Si 0.0000 0.5000 0.5000 [1 per cell]  6 Si 2.96-3.09, 4 Au 2.99
Si 0.5000 0.0000 0.5000 [1 per cell]  6 Si 2.96-3.09, 4 Tl 2.99
Au 0.5000 0.5000 0.0000 [1 per cell]  4 Tl 2.96, 4 Si 2.99, 2 Au 3.09

Summary:
- DOS(E_F) (states/eV/f.u.) = 1.4
- formation energy from raw total energies (kJ/mol of formula units) = 208
- total energy (eV per atom) = -3.58
- magnetization (μB per atom) = 0.0000
- volume (Å³/atom) = 20.0



(3)
Here is a relaxed Y2MgPbN crystal from Alexandria via LeMat-Bulk. Energies are from PBE.

a = 4.8607 Å, b = 4.8607 Å, c = 4.4590 Å
α = 90.00°, β = 90.00°, γ = 90.00°
Closest atoms and distances in Å follow each position.
Space group P4/mmm (No. 123)
Symmetry-distinct sites (fractional):
Y 0.0000 0.5000 0.0000 [2 per cell]  2 N 2.43
Mg 0.0000 0.0000 0.5000 [1 per cell]  2 N 2.23
Pb 0.5000 0.5000 0.5000 [1 per cell]  8 Y 3.30, 4 Mg 3.44
N 0.0000 0.0000 0.0000 [1 per cell]  2 Mg 2.23, 4 Y 2.43

Summary:
- DOS(E_F) (states/eV/f.u.) = 1.6
- formation energy from raw total energies (kJ/mol of formula units) = -406
- total energy (eV per atom) = -6.15
- magnetization (μB per atom) = 0.0000
- volume (Å³/atom) = 21.1



(4)
Here is a relaxed YSi3 crystal from Alexandria via LeMat-Bulk. Energies are from PBE.

a = 3.9530 Å, b = 3.9530 Å, c = 9.1945 Å
α = 90.00°, β = 90.00°, γ = 90.00°
Closest atoms and distances in Å follow each position.
Space group I4/mmm (No. 139)
Symmetry-distinct sites (fractional):
Y 0.0000 0.0000 0.0000 [2 per cell]  12 Si 2.80-3.03
Si 0.0000 0.0000 0.5000 [2 per cell]  4 Y 2.80, 8 Si 3.03
Si 0.0000 0.5000 0.2500 [4 per cell]  8 Si 2.80-3.03, 4 Y 3.03

Summary:
- DOS(E_F) (states/eV/f.u.) = 3.3
- formation energy from raw total energies (kJ/mol of formula units) = -45
- total energy (eV per atom) = -5.80
- magnetization (μB per atom) = 0.0000
- volume (Å³/atom) = 18.0



(5)
Here is a relaxed ThAlNiAg crystal from Alexandria via LeMat-Bulk. Energies are from PBE.

a = 6.8209 Å, b = 6.8209 Å, c = 6.8209 Å
α = 90.00°, β = 90.00°, γ = 90.00°
Closest atoms and distances in Å follow each position.
Space group F-43m (No. 216)
Symmetry-distinct sites (fractional):
Th 0.0000 0.0000 0.0000 [4 per cell]  4 Ni 2.95, 4 Ag 2.95
Al 0.0000 0.0000 0.5000 [4 per cell]  4 Ag 2.95, 4 Ni 2.95
Ni 0.2500 0.2500 0.7500 [4 per cell]  4 Al 2.95, 4 Th 2.95
Ag 0.2500 0.2500 0.2500 [4 per cell]  4 Th 2.95, 4 Al 2.95

Summary:
- DOS(E_F) (states/eV/f.u.) = 3.1
- formation energy from the elements (eV/atom) = -0.225
- total energy (eV per atom) = -5.17
- magnetization (μB per atom) = 0.0000
- volume (Å³/atom) = 19.8



(6)
Here is a relaxed BeSi3N crystal from Alexandria via LeMat-Bulk. Energies are from PBE.

a = 3.9779 Å, b = 3.9779 Å, c = 3.9779 Å
α = 90.00°, β = 90.00°, γ = 90.00°
Closest atoms and distances in Å follow each position.
Space group Pm-3m (No. 221)
Symmetry-distinct sites (fractional):
Be 0.0000 0.0000 0.0000 [1 per cell]  12 Si 2.81
Si 0.0000 0.5000 0.5000 [3 per cell]  2 N 1.99
N 0.5000 0.5000 0.5000 [1 per cell]  6 Si 1.99

Summary:
- DOS(E_F) (states/eV/f.u.) = 3.2
- formation energy from raw total energies (kJ/mol of formula units) = 400
- total energy (eV per atom) = -4.83
- magnetization (μB per atom) = 0.0000
- volume (Å³/atom) = 12.6



(7)
Here is a relaxed BaLiAl3P2H2O14 crystal from Alexandria via LeMat-Bulk. Energies are from PBE.

a = 6.5466 Å, b = 7.1795 Å, c = 7.5906 Å
α = 63.41°, β = 66.35°, γ = 64.62°
Closest atoms and distances in Å follow each position.
Space group P1 (No. 1)
Symmetry-distinct sites (fractional):
Ba 0.0000 0.0000 0.0000 [1 per cell]  6 O 2.62-2.87
Li 0.4398 0.5976 0.1938 [1 per cell]  2 O 1.84-1.96
Al 0.0867 0.4276 0.5063 [1 per cell]  6 O 1.84-1.93
Al 0.0966 0.9252 0.5057 [1 per cell]  6 O 1.89-1.93
Al 0.5867 0.9247 0.5193 [1 per cell]  6 O 1.87-2.06
P 0.3700 0.2341 0.1453 [1 per cell]  4 O 1.50-1.60
P 0.8241 0.6193 0.8657 [1 per cell]  4 O 1.52-1.57
H 0.4061 0.6363 0.6626 [1 per cell]  1 O 0.99
H 0.7804 0.2102 0.3635 [1 per cell]  1 O 0.98
O 0.0734 0.1466 0.5943 [1 per cell]  1 O 1.54
O 0.1219 0.7117 0.4027 [1 per cell]  1 O 1.55
O 0.2026 0.0928 0.2269 [1 per cell]  1 P 1.57
O 0.2455 0.4283 0.2381 [1 per cell]  1 P 1.60
O 0.3005 0.1453 0.6123 [1 per cell]  1 O 1.54
O 0.4053 0.7662 0.5382 [1 per cell]  1 H 0.99
O 0.4573 0.3160 0.9178 [1 per cell]  1 P 1.50
O 0.5801 0.0816 0.2467 [1 per cell]  1 P 1.58
O 0.5960 0.7638 0.7907 [1 per cell]  1 P 1.57
O 0.7603 0.5214 0.0969 [1 per cell]  1 P 1.52
O 0.7859 0.0760 0.4820 [1 per cell]  1 H 0.98
O 0.8863 0.7087 0.4035 [1 per cell]  1 O 1.55
O 0.9576 0.4316 0.7699 [1 per cell]  1 P 1.57
O 0.9831 0.7672 0.7842 [1 per cell]  1 P 1.56

Summary:
- DOS(E_F) (states/eV/f.u.) = 0.0
- total energy (eV per atom) = -6.60
- magnetization (μB per atom) = 0.0060
- volume (Å³/atom) = 12.1



(8)
Here is a relaxed Li2LaZnIr crystal from Alexandria via LeMat-Bulk. Energies are from PBE.

a = 5.8065 Å, b = 5.8065 Å, c = 4.8945 Å
α = 90.00°, β = 90.00°, γ = 90.00°
Closest atoms and distances in Å follow each position.
Space group P4/mmm (No. 123)
Symmetry-distinct sites (fractional):
Li 0.0000 0.5000 0.0000 [2 per cell]  2 La 2.90
La 0.0000 0.0000 0.0000 [1 per cell]  2 Ir 2.45
Zn 0.5000 0.5000 0.5000 [1 per cell]  8 Li 3.80, 4 Ir 4.11
Ir 0.0000 0.0000 0.5000 [1 per cell]  2 La 2.45

Summary:
- DOS(E_F) (states/eV/f.u.) = 4.0
- formation energy from the elements (eV/atom) = 0.991
- total energy (eV per atom) = -2.79
- magnetization (μB per atom) = 0.0000
- volume (Å³/atom) = 33.0



(9)
Here is a relaxed TlCoSi2As crystal from Alexandria via LeMat-Bulk. Energies are from PBE.

a = 4.3026 Å, b = 4.3026 Å, c = 5.2966 Å
α = 90.00°, β = 90.00°, γ = 90.00°
Closest atoms and distances in Å follow each position.
Space group P4/mmm (No. 123)
Symmetry-distinct sites (fractional):
Tl 0.0000 0.0000 0.0000 [1 per cell]  2 Co 2.65
Co 0.0000 0.0000 0.5000 [1 per cell]  4 Si 2.15
Si 0.0000 0.5000 0.5000 [2 per cell]  2 Co 2.15
As 0.5000 0.5000 0.0000 [1 per cell]  4 Tl 3.04

Summary:
- DOS(E_F) (states/eV/f.u.) = 2.5
- formation energy from raw total energies (kJ/mol of formula units) = 170
- total energy (eV per atom) = -4.64
- magnetization (μB per atom) = 0.0000
- volume (Å³/atom) = 19.6



(10)
Here is a relaxed Co3BiTe crystal from Alexandria via LeMat-Bulk. Energies are from PBE.

a = 4.8401 Å, b = 4.8401 Å, c = 4.8401 Å
α = 90.00°, β = 90.00°, γ = 90.00°
Closest atoms and distances in Å follow each position.
Space group Pm-3m (No. 221)
Symmetry-distinct sites (fractional):
Co 0.0000 0.0000 0.5000 [3 per cell]  2 Bi 2.42
Bi 0.0000 0.0000 0.0000 [1 per cell]  6 Co 2.42
Te 0.5000 0.5000 0.5000 [1 per cell]  12 Co 3.42

Summary:
- DOS(E_F) (states/eV/f.u.) = 6.6
- formation energy from raw total energies (kJ/mol of formula units) = 667
- total energy (eV per atom) = -4.29
- magnetization (μB per atom) = 0.8104
- volume (Å³/atom) = 22.7



(11)
Here is a relaxed Ba2TlZnRh crystal from Alexandria via LeMat-Bulk. Energies are from PBE.

a = 6.0350 Å, b = 6.0350 Å, c = 4.8682 Å
α = 90.00°, β = 90.00°, γ = 90.00°
Closest atoms and distances in Å follow each position.
Space group P4/mmm (No. 123)
Symmetry-distinct sites (fractional):
Ba 0.0000 0.5000 0.0000 [2 per cell]  2 Rh 3.02
Tl 0.0000 0.0000 0.5000 [1 per cell]  8 Ba 3.88, 4 Zn 4.27
Zn 0.5000 0.5000 0.5000 [1 per cell]  2 Rh 2.43
Rh 0.5000 0.5000 0.0000 [1 per cell]  2 Zn 2.43

Summary:
- DOS(E_F) (states/eV/f.u.) = 4.5
- formation energy from the elements (eV/atom) = -0.181
- total energy (eV per atom) = -3.15
- magnetization (μB per atom) = 0.0000
- volume (Å³/atom) = 35.5



(12)
Here is a relaxed AlIn2Pt crystal from Alexandria via LeMat-Bulk. Energies are from PBE.

a = 6.8398 Å, b = 6.8398 Å, c = 6.8398 Å
α = 90.00°, β = 90.00°, γ = 90.00°
Closest atoms and distances in Å follow each position.
Space group F-43m (No. 216)
Symmetry-distinct sites (fractional):
Al 0.0000 0.0000 0.0000 [4 per cell]  4 Pt 2.96, 4 In 2.96
In 0.0000 0.0000 0.5000 [4 per cell]  4 In 2.96, 4 Pt 2.96
In 0.2500 0.2500 0.2500 [4 per cell]  4 Al 2.96, 4 In 2.96
Pt 0.2500 0.2500 0.7500 [4 per cell]  4 In 2.96, 4 Al 2.96

Summary:
- DOS(E_F) (states/eV/f.u.) = 0.7
- formation energy from the elements (eV/atom) = -0.040
- total energy (eV per atom) = -3.86
- magnetization (μB per atom) = 0.0000
- volume (Å³/atom) = 20.0